Entry 1:
Material: NdHf4Rh5
Method: DFT, PBE
State: optimized geometry

For the total energy, the calculation gives -8.9904 eV per atom.

POSCAR file:
```
NdHf4Rh5
1.0
3.290 0.000 0.000
0.000 3.290 0.000
0.000 0.000 17.087
Hf Rh Nd
4 5 1
Direct
0.000 0.000 0.405
0.000 0.000 0.211
0.000 0.000 0.789
0.000 0.000 0.595
0.500 0.500 0.500
0.500 0.500 0.314
0.500 0.500 0.869
0.500 0.500 0.686
0.500 0.500 0.131
0.000 0.000 0.000
```


Entry 2:
Material: NdHfRuRh
Method: DFT, PBE
State: optimized geometry

For the total energy, the calculation gives -8.3276 eV per atom.

POSCAR file:
```
NdHfRuRh
1.0
4.793 0.000 0.000
2.396 4.151 0.000
2.396 1.384 3.913
Hf Rh Ru Nd
1 1 1 1
Direct
0.000 0.000 0.000
0.250 0.250 0.250
0.750 0.750 0.750
0.500 0.500 0.500
```


Entry 3:
Material: Nd2HfSb3Rh4
Method: DFT, PBE
State: optimized geometry

As for the uncorrected formation energy: -0.8571 eV/atom.

POSCAR file:
```
Nd2HfSb3Rh4
1.0
-0.743 -1.984 3.817
0.472 -3.888 -1.929
11.036 0.218 2.262
Rh Sb Nd Hf
4 3 2 1
Direct
0.000 0.000 0.000
0.500 0.000 0.636
0.500 0.500 0.000
0.000 0.500 0.364
0.000 0.500 0.135
0.000 0.000 0.500
0.500 0.000 0.865
0.000 0.500 0.765
0.500 0.000 0.235
0.500 0.500 0.500
```


Entry 4:
Material: NdHfZnRh
Method: DFT, PBE
State: optimized geometry

For the total energy, the calculation gives -6.1711 eV per atom.

POSCAR file:
```
NdHfZnRh
1.0
-1.049 -2.227 4.211
-2.110 -4.398 -0.026
2.538 -3.931 1.378
Nd Hf Rh Zn
1 1 1 1
Direct
0.250 0.250 0.250
0.750 0.750 0.750
0.000 0.000 0.000
0.500 0.500 0.500
```


DOS at the Fermi energy (states/eV per atom)
0.720 0.745 0.761 0.925
Spin magnetization (Bohr magnetons per cell)
0.000 0.000 0.000 0.000